# 1
A relaxed Ho5TmCd3 crystal. Source: the Alexandria database, functional PBE.

Geometry as CIF:
```
data_Ho5TmCd3
_cell_length_a 9.1215
_cell_length_b 9.1215
_cell_length_c 6.8745
_cell_angle_alpha 90.00
_cell_angle_beta 90.00
_cell_angle_gamma 120.00
_space_group_name_H-M_alt 'P 63/m c m'
_space_group_IT_number 193
_space_group_name_Hall '-P 6c 2'
loop_
_atom_site_label
_atom_site_type_symbol
_atom_site_fract_x
_atom_site_fract_y
_atom_site_fract_z
Ho1 Ho 0.0000 0.3323 0.2500
Ho2 Ho 0.3333 0.6667 0.0000
Tm1 Tm 0.0000 0.0000 0.0000
Cd1 Cd 0.0000 0.3337 0.7500
```

# 2
A relaxed HoTm2Cd5 crystal. Source: the Alexandria database, functional PBE.

Geometry as CIF:
```
data_HoTm2Cd5
_cell_length_a 5.0971
_cell_length_b 5.0971
_cell_length_c 14.8625
_cell_angle_alpha 90.00
_cell_angle_beta 90.00
_cell_angle_gamma 90.00
_space_group_name_H-M_alt 'I 4/m m m'
_space_group_IT_number 139
_space_group_name_Hall '-I 4 2'
loop_
_atom_site_label
_atom_site_type_symbol
_atom_site_fract_x
_atom_site_fract_y
_atom_site_fract_z
Ho1 Ho 0.0000 0.0000 0.0000
Tm1 Tm 0.0000 0.0000 0.2592
Cd1 Cd 0.0000 0.0000 0.5000
Cd2 Cd 0.0000 0.5000 0.1215
```

# 3
A relaxed Ho4TmCd crystal. Source: the Alexandria database, functional PBE.

Geometry as CIF:
```
data_Ho4TmCd
_cell_length_a 5.2555
_cell_length_b 5.2555
_cell_length_c 7.3297
_cell_angle_alpha 90.00
_cell_angle_beta 90.00
_cell_angle_gamma 90.00
_space_group_name_H-M_alt 'P 4/m m m'
_space_group_IT_number 123
_space_group_name_Hall '-P 4 2'
loop_
_atom_site_label
_atom_site_type_symbol
_atom_site_fract_x
_atom_site_fract_y
_atom_site_fract_z
Ho1 Ho 0.0000 0.5000 0.2421
Tm1 Tm 0.0000 0.0000 0.5000
Cd1 Cd 0.5000 0.5000 0.0000
```

Results
Polymorph energy (0 for the lowest one) = 507.4 meV per atom

# 4
A relaxed Ho12Tm6Cd crystal. Source: the Alexandria database, functional PBE.

Geometry as CIF:
```
data_Ho12Tm6Cd
_cell_length_a 11.7188
_cell_length_b 11.7188
_cell_length_c 14.7973
_cell_angle_alpha 90.00
_cell_angle_beta 90.00
_cell_angle_gamma 120.00
_space_group_name_H-M_alt 'R -3'
_space_group_IT_number 148
_space_group_name_Hall '-R 3'
loop_
_atom_site_label
_atom_site_type_symbol
_atom_site_fract_x
_atom_site_fract_y
_atom_site_fract_z
Ho1 Ho 0.0087 0.1794 0.3146
Ho2 Ho 0.0473 0.8499 0.9149
Tm1 Tm 0.0224 0.4299 0.1911
Cd1 Cd 0.0000 0.0000 0.5000
```

Results
Polymorph energy (0 for the lowest one) = 0.0 meV per atom

# 5
A relaxed HoTm5Cd4 crystal. Source: the Alexandria database, functional PBE.

Geometry as CIF:
```
data_HoTm5Cd4
_cell_length_a 3.6165
_cell_length_b 3.6165
_cell_length_c 20.2935
_cell_angle_alpha 90.00
_cell_angle_beta 90.00
_cell_angle_gamma 90.00
_space_group_name_H-M_alt 'P 4/m m m'
_space_group_IT_number 123
_space_group_name_Hall '-P 4 2'
loop_
_atom_site_label
_atom_site_type_symbol
_atom_site_fract_x
_atom_site_fract_y
_atom_site_fract_z
Ho1 Ho 0.0000 0.0000 0.0000
Tm1 Tm 0.5000 0.5000 0.1192
Tm2 Tm 0.5000 0.5000 0.3125
Tm3 Tm 0.5000 0.5000 0.5000
Cd1 Cd 0.0000 0.0000 0.2166
Cd2 Cd 0.0000 0.0000 0.4054
```

# 6
A relaxed Ho2TmCd crystal. Source: the Alexandria database, functional PBE.

Geometry as CIF:
```
data_Ho2TmCd
_cell_length_a 5.3133
_cell_length_b 5.3133
_cell_length_c 3.9731
_cell_angle_alpha 90.00
_cell_angle_beta 90.00
_cell_angle_gamma 90.00
_space_group_name_H-M_alt 'P 4/m m m'
_space_group_IT_number 123
_space_group_name_Hall '-P 4 2'
loop_
_atom_site_label
_atom_site_type_symbol
_atom_site_fract_x
_atom_site_fract_y
_atom_site_fract_z
Ho1 Ho 0.0000 0.5000 0.0000
Tm1 Tm 0.0000 0.0000 0.5000
Cd1 Cd 0.5000 0.5000 0.5000
```

Results
Polymorph energy (0 for the lowest one) = 83.7 meV per atom

# 7
A relaxed Ho8Tm5Cd crystal. Source: the Alexandria database, functional PBE.

Geometry as CIF:
```
data_Ho8Tm5Cd
_cell_length_a 9.4736
_cell_length_b 9.4736
_cell_length_c 9.8306
_cell_angle_alpha 90.00
_cell_angle_beta 90.00
_cell_angle_gamma 90.00
_space_group_name_H-M_alt 'I -4'
_space_group_IT_number 82
_space_group_name_Hall 'I -4'
loop_
_atom_site_label
_atom_site_type_symbol
_atom_site_fract_x
_atom_site_fract_y
_atom_site_fract_z
Ho1 Ho 0.0671 0.3270 0.0905
Ho2 Ho 0.0901 0.1850 0.7538
Tm1 Tm 0.0000 0.0000 0.0000
Tm2 Tm 0.1026 0.2050 0.4189
Cd1 Cd 0.0000 0.5000 0.7500
```

# 8
A relaxed HoTmCd4 crystal. Source: the Alexandria database, functional PBE.

Geometry as CIF:
```
data_HoTmCd4
_cell_length_a 3.4078
_cell_length_b 4.9617
_cell_length_c 8.5690
_cell_angle_alpha 90.00
_cell_angle_beta 90.00
_cell_angle_gamma 90.00
_space_group_name_H-M_alt 'P m m m'
_space_group_IT_number 47
_space_group_name_Hall '-P 2 2'
loop_
_atom_site_label
_atom_site_type_symbol
_atom_site_fract_x
_atom_site_fract_y
_atom_site_fract_z
Ho1 Ho 0.0000 0.0000 0.0000
Tm1 Tm 0.0000 0.5000 0.5000
Cd1 Cd 0.5000 0.0000 0.3337
Cd2 Cd 0.5000 0.5000 0.1678
```

Results
Polymorph energy (0 for the lowest one) = 0.0 meV per atom

| no. | theoretical density (g/cm3) | E_form (eV per atom) |
| --- | --- | --- |
| 1 | 8.92 | -0.19 |
| 2 | 9.16 | -0.29 |
| 3 | 7.72 | 0.42 |
| 4 | 8.79 | 0.11 |
| 5 | 9.13 | -0.23 |
| 6 | 9.05 | -0.06 |
| 7 | 8.57 | 0.21 |
| 8 | 8.98 | -0.30 |